HfFe3Si | PBE | optimized geometry

Summary:
distance to the lowest polymorph of the same formula: 1425.1 meV per atom
formation energy (no corrections): 8.2 eV/f.u.

abc: 4.559 4.559 4.559
angles: 90.00 90.00 90.00
Space group Pm-3m (No. 221)
Unique sites:
Hf (0.000, 0.000, 0.000)
Fe (0.000, 0.000, 0.500)
Si (0.500, 0.500, 0.500)


HfFe2Si | PBE | optimized geometry

Summary:
formation energy (no corrections): -1.7 eV/f.u.

abc: 4.097 4.097 3.074
angles: 90.00 90.00 90.00
Space group P4/mmm (No. 123)
Unique sites:
Hf (0.000, 0.000, 0.000)
Fe (0.000, 0.500, 0.500)
Si (0.500, 0.500, 0.000)


HfFe3Si | PBE | optimized geometry

Summary:
distance to the lowest polymorph of the same formula: 0.0 meV per atom
formation energy (no corrections): 1.1 eV/f.u.

abc: 4.148 4.148 4.148
angles: 90.00 90.00 90.00
Space group Pm-3m (No. 221)
Unique sites:
Hf (0.000, 0.000, 0.000)
Fe (0.000, 0.500, 0.500)
Si (0.500, 0.500, 0.500)


Hf2FeSi2 | PBE | optimized geometry

Summary:
formation energy (no corrections): -0.7 eV/f.u.

abc: 3.356 3.356 15.186
angles: 90.00 90.00 90.00
Space group I4/mmm (No. 139)
Unique sites:
Hf (0.000, 0.000, 0.101)
Fe (0.000, 0.000, 0.500)
Si (0.000, 0.500, 0.250)


Hf2FeSi2 | PBE | optimized geometry

Summary:
formation energy (no corrections): -2.7 eV/f.u.

abc: 5.343 11.564 5.328
angles: 90.00 90.00 90.00
Space group Ibam (No. 72)
Unique sites:
Hf (0.217, 0.167, 0.000)
Fe (0.000, 0.000, 0.250)
Si (0.198, 0.416, 0.000)


HfFeSi | PBE | optimized geometry

Summary:
formation energy (no corrections): -1.9 eV/f.u.

abc: 9.429 3.806 6.356
angles: 90.00 129.22 90.00
Space group C2/m (No. 12)
Unique sites:
Hf (0.056, 0.000, 0.295)
Fe (0.179, 0.500, 0.091)
Si (0.162, 0.500, 0.712)


Hf2Fe2Si | PBE | optimized geometry

Summary:
distance to the lowest polymorph of the same formula: 606.3 meV per atom
formation energy (no corrections): 1.2 eV/f.u.

abc: 7.276 7.276 3.085
angles: 90.00 90.00 90.00
Space group P4/mbm (No. 127)
Unique sites:
Hf (0.155, 0.345, 0.000)
Fe (0.141, 0.641, 0.500)
Si (0.000, 0.000, 0.000)


HfFeSi2 | PBE | optimized geometry

Summary:
formation energy (no corrections): -1.1 eV/f.u.

abc: 5.106 7.630 19.550
angles: 90.00 90.00 90.00
Space group Immm (No. 71)
Unique sites:
Hf (0.000, 0.000, 0.145)
Hf (0.000, 0.250, 0.383)
Fe (0.000, 0.248, 0.500)
Fe (0.250, 0.250, 0.250)
Si (0.000, 0.000, 0.285)
Si (0.000, 0.347, 0.155)
Si (0.000, 0.500, 0.283)
Si (0.240, 0.000, 0.000)
Si (0.247, 0.500, 0.000)


HfFe2Si | PBE | optimized geometry

Summary:
formation energy (no corrections): 0.6 eV/f.u.

abc: 6.583 6.583 5.369
angles: 90.00 90.00 90.00
Space group I-42d (No. 122)
Unique sites:
Hf (0.000, 0.000, 0.000)
Fe (0.191, 0.250, 0.625)
Si (0.000, 0.000, 0.500)


HfFeSi2 | PBE | optimized geometry

Summary:
formation energy (no corrections): -2.8 eV/f.u.

abc: 5.143 7.705 16.957
angles: 90.00 90.00 90.00
Space group Immm (No. 71)
Unique sites:
Hf (0.000, 0.000, 0.142)
Hf (0.000, 0.261, 0.404)
Fe (0.000, 0.255, 0.000)
Fe (0.250, 0.250, 0.250)
Si (0.000, 0.000, 0.298)
Si (0.000, 0.349, 0.139)
Si (0.000, 0.500, 0.286)
Si (0.242, 0.000, 0.500)
Si (0.246, 0.500, 0.500)


HfFeSi | PBE | optimized geometry

Summary:
formation energy (no corrections): -1.7 eV/f.u.

abc: 4.0515 4.0515 3.1162
angles: 90.00 90.00 120.00
Space group P-6m2 (No. 187)
Unique sites:
Hf (0.0000, 0.0000, 0.0000)
Fe (0.6667, 0.3333, 0.5000)
Si (0.3333, 0.6667, 0.5000)


HfFeSi2 | PBE | optimized geometry

Summary:
formation energy (no corrections): -2.3 eV/f.u.

abc: 3.8474 3.8474 13.4628
angles: 90.00 90.00 120.00
Space group R-3m (No. 166, hexagonal axes)
Unique sites:
Hf (0.0000, 0.0000, 0.0000)
Fe (0.0000, 0.0000, 0.5000)
Si (0.0000, 0.0000, 0.2133)


HfFeSi | PBE | optimized geometry

Summary:
formation energy (no corrections): -2.3 eV/f.u.

abc: 6.346 3.980 6.913
angles: 90.00 90.00 90.00
Space group Pnma (No. 62)
Unique sites:
Hf (0.007, 0.250, 0.198)
Fe (0.157, 0.750, 0.438)
Si (0.210, 0.250, 0.607)


Hf2FeSi2 | PBE | optimized geometry

Summary:
formation energy (no corrections): 0.1 eV/f.u.

abc: 6.970 6.970 3.724
angles: 90.00 90.00 90.00
Space group P4/mbm (No. 127)
Unique sites:
Hf (0.177, 0.323, 0.000)
Fe (0.000, 0.000, 0.000)
Si (0.121, 0.621, 0.500)


HfFe2Si | PBE | optimized geometry

Summary:
formation energy (no corrections): -1.5 eV/f.u.

abc: 3.538 3.538 9.166
angles: 90.00 90.00 90.00
Space group P4/nmm (No. 129, origin choice 2)
Unique sites:
Hf (0.250, 0.250, 0.227)
Fe (0.250, 0.250, 0.931)
Fe (0.250, 0.750, 0.500)
Si (0.250, 0.250, 0.667)


Hf2FeSi2 | PBE | optimized geometry

Summary:
formation energy (no corrections): -3.6 eV/f.u.

abc: 6.150 6.150 4.136
angles: 90.00 90.00 90.00
Space group P4/mbm (No. 127)
Unique sites:
Hf (0.174, 0.326, 0.000)
Fe (0.000, 0.000, 0.500)
Si (0.139, 0.639, 0.500)


Hf2Fe5Si4 | PBE | optimized geometry

Summary:
formation energy (no corrections): -5.2 eV/f.u.

abc: 5.164 8.804 13.221
angles: 90.00 90.00 90.00
Space group Fmmm (No. 69)
Unique sites:
Hf (0.000, 0.000, 0.129)
Fe (0.000, 0.000, 0.500)
Fe (0.250, 0.250, 0.000)
Fe (0.250, 0.250, 0.250)
Si (0.000, 0.147, 0.365)


Hf3FeSi3 | PBE | optimized geometry

Summary:
formation energy (no corrections): -5.7 eV/f.u.

abc: 9.816 3.845 12.762
angles: 90.00 110.49 90.00
Space group C2/m (No. 12)
Unique sites:
Hf (0.025, 0.000, 0.380)
Hf (0.105, 0.000, 0.918)
Hf (0.246, 0.000, 0.226)
Fe (0.239, 0.500, 0.413)
Si (0.041, 0.500, 0.239)
Si (0.116, 0.500, 0.075)
Si (0.135, 0.500, 0.550)


HfFeSiTc | PBE | optimized geometry

Summary:
formation energy (no corrections): -1.7 eV/f.u.

abc: 6.097 6.097 6.097
angles: 90.00 90.00 90.00
Space group F-43m (No. 216)
Unique sites:
Hf (0.000, 0.000, 0.000)
Fe (0.250, 0.250, 0.250)
Si (0.000, 0.000, 0.500)
Tc (0.250, 0.250, 0.750)


SmHfFe10 | PBE | optimized geometry

Summary:
formation energy from the elements: -39 meV per atom

abc: 3.957 4.939 8.538
angles: 90.00 90.00 90.00
Space group Pmmm (No. 47)
Unique sites:
Sm (0.000, 0.000, 0.000)
Hf (0.000, 0.500, 0.500)
Fe (0.000, 0.000, 0.341)
Fe (0.000, 0.500, 0.176)
Fe (0.500, 0.000, 0.500)
Fe (0.500, 0.255, 0.259)
Fe (0.500, 0.500, 0.000)


Calculated uncorrected energy, -6.511, -8.501, -7.936, -7.990, -8.386, -8.592, -8.219, -7.592, -7.915, -8.004, -8.497, -7.892, -8.719, -7.821, -8.460, -8.563, -8.098, -8.611, -8.971, -8.314 eV/atom (same order as the records).